! TlAgF (PBE, optimized geometry); values from VASP
&SYSTEM
  ibrav = 0, nat = 6, ntyp = 3
/
ATOMIC_SPECIES
Ag 107.87 Ag.upf
F 19.00 F.upf
Tl 204.38 Tl.upf
CELL_PARAMETERS angstrom
4.239 0.148 0.593
2.246 3.598 0.593
3.179 1.836 10.646
ATOMIC_POSITIONS angstrom
Ag 4.701 2.716 1.576
Ag 6.618 3.823 3.259
F 5.690 3.287 8.511
Tl 3.495 2.019 9.051
F 3.865 2.233 6.490
Tl 6.056 3.499 6.089
! Raw formation energy = -20.163 kcal/mol of atoms
! ρ = 7.33 g/cm³
! Uncorrected energy = -3.24 eV/atom
! Polymorph energy (0 for the lowest one) = 0 meV/atom